LiBSe3: optimized geometry, PBE.

Summary:
- theoretical density (Mg/m³) = 4.1
- magnetization (μB per formula unit) = 0.00
- E_form (uncorrected) (eV per atom) = 1.12
- D(E_F) (states/eV per cell) = 6.74

abc: 4.6772 4.6772 4.6772
angles: 90.00 90.00 90.00
Space group Pm-3m (No. 221)
Unique sites:
Li  0.0000  0.0000  0.0000 [1 per cell]
B  0.5000  0.5000  0.5000 [1 per cell]
Se  0.0000  0.0000  0.5000 [3 per cell]

=====

LiBSe3: optimized geometry, PBE.

Summary:
- theoretical density (Mg/m³) = 3.5
- magnetization (μB per formula unit) = 0.00
- E_form (uncorrected) (eV per atom) = -0.41

abc: 4.8885 6.8773 7.3270
angles: 100.35 92.57 90.63
Space group P-1 (No. 2)
Unique sites:
Li  0.2321  0.3033  0.4317 [2 per cell]
B  0.2257  0.7567  0.1757 [2 per cell]
Se  0.0081  0.0148  0.8365 [2 per cell]
Se  0.2583  0.6895  0.4213 [2 per cell]
Se  0.3789  0.6293  0.9447 [2 per cell]

=====

Li2BSe2: optimized geometry, PBE.

Summary:
- theoretical density (Mg/m³) = 3.8
- magnetization (μB per formula unit) = 0.00
- E_form (uncorrected) (eV per atom) = 0.09
- D(E_F) (states/eV per cell) = 1.87

abc: 7.5471 7.5471 2.8334
angles: 90.00 90.00 90.00
Space group P4/mbm (No. 127)
Unique sites:
Li  0.1267  0.3733  0.0000 [4 per cell]
B  0.0000  0.0000  0.5000 [2 per cell]
Se  0.1767  0.6767  0.5000 [4 per cell]

=====

LiSi2BSe6: optimized geometry, PBE.

Summary:
- theoretical density (Mg/m³) = 3.6
- magnetization (μB per formula unit) = 0.00
- E_form (uncorrected) (eV per atom) = -0.32
- D(E_F) (states/eV per cell) = 0.00

abc: 13.1284 12.4075 6.8311
angles: 90.00 115.14 90.00
Space group C2/c (No. 15)
Unique sites:
Li  0.0000  0.0989  0.2500 [4 per cell]
Si  0.2045  0.4127  0.1502 [8 per cell]
B  0.0000  0.1961  0.7500 [4 per cell]
Se  0.0887  0.2609  0.0551 [8 per cell]
Se  0.0994  0.0883  0.6671 [8 per cell]
Se  0.1443  0.4409  0.4249 [8 per cell]

=====

Li2SiBSe4: optimized geometry, PBE.

Summary:
- theoretical density (Mg/m³) = 3.6
- magnetization (μB per formula unit) = 0.86
- E_form (uncorrected) (eV per atom) = -0.49
- D(E_F) (states/eV per cell) = 2.12

abc: 5.4970 5.9640 6.2774
angles: 66.96 64.67 88.58
Space group P1 (No. 1)
Unique sites:
Li  0.0000  0.0000  0.0000 [1 per cell]
Li  0.2683  0.7558  0.5167 [1 per cell]
Si  0.4890  0.5130  0.9917 [1 per cell]
B  0.7780  0.2704  0.4874 [1 per cell]
Se  0.1163  0.1504  0.2781 [1 per cell]
Se  0.4753  0.9506  0.7178 [1 per cell]
Se  0.6685  0.5768  0.2537 [1 per cell]
Se  0.8683  0.3818  0.7271 [1 per cell]

=====

Li2TcBSe: optimized geometry, PBE.

Summary:
- theoretical density (Mg/m³) = 3.2
- magnetization (μB per formula unit) = 2.45
- E_form (uncorrected) (eV per atom) = 0.93
- D(E_F) (states/eV per cell) = 3.90

abc: 5.1657 5.1657 3.8834
angles: 90.00 90.00 90.00
Space group P4/mmm (No. 123)
Unique sites:
Li  0.0000  0.5000  0.0000 [2 per cell]
Tc  0.0000  0.0000  0.0000 [1 per cell]
B  0.0000  0.0000  0.5000 [1 per cell]
Se  0.5000  0.5000  0.5000 [1 per cell]

=====

LiZn2BSe: optimized geometry, PBE.

Summary:
- theoretical density (Mg/m³) = 4.5
- magnetization (μB per formula unit) = 0.00
- E_form (uncorrected) (eV per atom) = 0.07
- D(E_F) (states/eV per cell) = 1.73

abc: 4.0668 4.0668 5.0693
angles: 90.00 90.00 90.00
Space group P4/mmm (No. 123)
Unique sites:
Li  0.0000  0.0000  0.0000 [1 per cell]
Zn  0.0000  0.5000  0.5000 [2 per cell]
B  0.0000  0.0000  0.5000 [1 per cell]
Se  0.5000  0.5000  0.0000 [1 per cell]

=====

LiSiB14: optimized geometry, PBE.

Summary:
- theoretical density (Mg/m³) = 2.5
- magnetization (μB per formula unit) = 0.00
- E_form (uncorrected) (eV per atom) = 0.02
- D(E_F) (states/eV per cell) = 7.51

abc: 5.9376 10.2379 8.1049
angles: 90.00 90.00 90.00
Space group Imma (No. 74)
Unique sites:
Li  0.2500  0.2500  0.2500 [4 per cell]
Si  0.0000  0.2500  0.5823 [4 per cell]
B  0.0000  0.0847  0.1770 [8 per cell]
B  0.0000  0.1445  0.3793 [8 per cell]
B  0.0000  0.1663  0.9790 [8 per cell]
B  0.1549  0.0666  0.8359 [16 per cell]
B  0.2452  0.0788  0.0459 [16 per cell]

=====

LiSi3B: optimized geometry, PBE.

Summary:
- theoretical density (Mg/m³) = 2.3
- magnetization (μB per formula unit) = 0.00
- E_form (uncorrected) (eV per atom) = 0.63
- D(E_F) (states/eV per cell) = 1.91

abc: 4.2012 4.2012 4.2012
angles: 90.00 90.00 90.00
Space group Pm-3m (No. 221)
Unique sites:
Li  0.0000  0.0000  0.0000 [1 per cell]
Si  0.0000  0.5000  0.5000 [3 per cell]
B  0.5000  0.5000  0.5000 [1 per cell]

=====

LiSi2B: optimized geometry, PBE.

Summary:
- theoretical density (Mg/m³) = 2.3
- magnetization (μB per formula unit) = 0.00
- E_form (uncorrected) (eV per atom) = 0.01
- D(E_F) (states/eV per cell) = 0.98

abc: 4.9667 4.9711 5.1477
angles: 103.14 103.57 113.54
Space group P-1 (No. 2)
Unique sites:
Li  0.0894  0.4176  0.2547 [2 per cell]
Si  0.2731  0.0414  0.4244 [2 per cell]
Si  0.4580  0.2259  0.0739 [2 per cell]
B  0.1966  0.3042  0.7482 [2 per cell]

=====

LiSi2B: optimized geometry, PBE.

Summary:
- theoretical density (Mg/m³) = 2.4
- magnetization (μB per formula unit) = 0.00
- E_form (uncorrected) (eV per atom) = -0.05
- D(E_F) (states/eV per cell) = 0.36

abc: 3.5910 5.2527 6.1829
angles: 72.08 89.85 70.13
Space group P1 (No. 1)
Unique sites:
Li  0.0000  0.0000  0.0000 [1 per cell]
Li  0.3798  0.2336  0.2381 [1 per cell]
Si  0.1081  0.7667  0.4829 [1 per cell]
Si  0.4333  0.1400  0.6907 [1 per cell]
Si  0.6841  0.6263  0.9136 [1 per cell]
Si  0.6954  0.5937  0.3145 [1 per cell]
B  0.2589  0.4758  0.8211 [1 per cell]
B  0.9211  0.1654  0.5121 [1 per cell]

=====

LiSi2B: optimized geometry, PBE.

Summary:
- theoretical density (Mg/m³) = 2.4
- magnetization (μB per formula unit) = 0.00
- E_form (uncorrected) (eV per atom) = -0.14

abc: 6.8411 6.8411 8.8495
angles: 90.00 90.00 90.00
Space group P4_2/nmc (No. 137, origin choice 2)
Unique sites:
Li  0.0039  0.7500  0.0754 [8 per cell]
Si  0.0662  0.7500  0.6207 [8 per cell]
Si  0.0691  0.2500  0.6365 [8 per cell]
B  0.0081  0.5081  0.7500 [8 per cell]

=====

LiSi2B: optimized geometry, PBE.

Summary:
- theoretical density (Mg/m³) = 2.2
- magnetization (μB per formula unit) = 0.00
- E_form (uncorrected) (eV per atom) = 0.04
- D(E_F) (states/eV per cell) = 0.30

abc: 5.4426 3.5906 6.1065
angles: 90.00 113.35 90.00
Space group Pm (No. 6)
Unique sites:
Li  0.0000  0.0000  0.0000 [1 per cell]
Li  0.1883  0.5000  0.5921 [1 per cell]
Si  0.3419  0.5000  0.0837 [1 per cell]
Si  0.3646  0.0000  0.3471 [1 per cell]
Si  0.7974  0.5000  0.1238 [1 per cell]
Si  0.8221  0.0000  0.5981 [1 per cell]
B  0.9259  0.5000  0.8166 [1 per cell]
B  0.9600  0.0000  0.3281 [1 per cell]

=====

LiSiB2: optimized geometry, PBE.

Summary:
- theoretical density (Mg/m³) = 1.9
- magnetization (μB per formula unit) = 0.00
- E_form (uncorrected) (eV per atom) = 0.52
- D(E_F) (states/eV per cell) = 7.04

abc: 3.8922 3.8922 13.3943
angles: 90.00 90.00 90.00
Space group I4_1/amd (No. 141, origin choice 2)
Unique sites:
Li  0.0000  0.2500  0.3750 [4 per cell]
Si  0.0000  0.2500  0.8750 [4 per cell]
B  0.0000  0.0000  0.0000 [8 per cell]

=====

LiSi3B: optimized geometry, PBE.

Summary:
- theoretical density (Mg/m³) = 2.2
- magnetization (μB per formula unit) = 0.00
- E_form (uncorrected) (eV per atom) = 1.53
- D(E_F) (states/eV per cell) = 1.27

abc: 4.2759 4.2759 4.2759
angles: 90.00 90.00 90.00
Space group Pm-3m (No. 221)
Unique sites:
Li  0.0000  0.0000  0.0000 [1 per cell]
Si  0.0000  0.0000  0.5000 [3 per cell]
B  0.5000  0.5000  0.5000 [1 per cell]

=====

Li3SiB: optimized geometry, PBE.

Summary:
- theoretical density (Mg/m³) = 0.9
- magnetization (μB per formula unit) = 0.00
- E_form (uncorrected) (eV per atom) = 1.02
- D(E_F) (states/eV per cell) = 1.82

abc: 4.7097 4.7097 4.7097
angles: 90.00 90.00 90.00
Space group Pm-3m (No. 221)
Unique sites:
Li  0.0000  0.0000  0.5000 [3 per cell]
Si  0.0000  0.0000  0.0000 [1 per cell]
B  0.5000  0.5000  0.5000 [1 per cell]

=====

Li3SiB: optimized geometry, PBE.

Summary:
- theoretical density (Mg/m³) = 1.4
- magnetization (μB per formula unit) = 0.26
- E_form (uncorrected) (eV per atom) = 0.60
- D(E_F) (states/eV per cell) = 1.18

abc: 4.1778 4.1778 4.1778
angles: 90.00 90.00 90.00
Space group Pm-3m (No. 221)
Unique sites:
Li  0.0000  0.0000  0.5000 [3 per cell]
Si  0.5000  0.5000  0.5000 [1 per cell]
B  0.0000  0.0000  0.0000 [1 per cell]

=====

Li2SiB: optimized geometry, PBE.

Summary:
- theoretical density (Mg/m³) = 2.0
- magnetization (μB per formula unit) = 0.00
- E_form (uncorrected) (eV per atom) = 0.48
- D(E_F) (states/eV per cell) = 4.69

abc: 5.6045 5.6045 5.6045
angles: 90.00 90.00 90.00
Space group Fm-3m (No. 225)
Unique sites:
Li  0.2500  0.2500  0.2500 [8 per cell]
Si  0.0000  0.0000  0.0000 [4 per cell]
B  0.0000  0.0000  0.5000 [4 per cell]

=====

LiSi2B: optimized geometry, PBE.

Summary:
- theoretical density (Mg/m³) = 2.3
- magnetization (μB per formula unit) = 0.00
- E_form (uncorrected) (eV per atom) = 0.03
- D(E_F) (states/eV per cell) = 0.07

abc: 4.7805 5.1390 5.4225
angles: 107.24 103.49 114.40
Space group P1 (No. 1)
Unique sites:
Li  0.0000  0.0000  0.0000 [1 per cell]
Li  0.1533  0.6773  0.3258 [1 per cell]
Si  0.0057  0.1086  0.5246 [1 per cell]
Si  0.3793  0.7346  0.9231 [1 per cell]
Si  0.5254  0.4802  0.5193 [1 per cell]
Si  0.5470  0.2543  0.9196 [1 per cell]
B  0.6212  0.6536  0.2336 [1 per cell]
B  0.8690  0.4018  0.7294 [1 per cell]

=====

Li2SiB: optimized geometry, PBE.

Summary:
- theoretical density (Mg/m³) = 1.1
- magnetization (μB per formula unit) = 0.00
- E_form (uncorrected) (eV per atom) = 0.23
- D(E_F) (states/eV per cell) = 5.06

abc: 9.1413 9.1413 3.6805
angles: 90.00 90.00 90.00
Space group I-42d (No. 122)
Unique sites:
Li  0.0010  0.2500  0.1250 [8 per cell]
Si  0.0000  0.0000  0.5000 [4 per cell]
B  0.0000  0.0000  0.0000 [4 per cell]